Material: Na3Ge4Au2
Method: DFT, PBE
State: relaxed

Properties
calculated total energy = -31.0 eV for the cell shown
DOS(E_F) = 0.257 states/eV/atom
E_form = -0.225 eV per atom
density = 6.693 Mg/m³
space group = No. 12
magnetization = 0.00 μB per cell

```
9
Lattice="4.333 0.000 1.156 1.839 5.136 1.805 0.077 -0.046 8.409" Properties=species:S:1:pos:R:3 pbc="T T T"
Na 0.000 0.000 0.000
Ge 4.409 3.015 9.569
Ge 1.840 2.075 1.801
Au 3.494 4.677 4.302
Na 2.768 3.796 7.024
Ge 0.690 1.715 6.112
Au 2.756 0.413 7.067
Na 3.482 1.294 4.346
Ge 5.559 3.375 5.257
```

---

Material: La3In4Pt4
Method: DFT, PBE
State: relaxed

Properties
calculated total energy = -60.0 eV for the cell shown
DOS(E_F) = 0.512 states/eV/atom
E_form = -0.915 eV per atom
density = 10.567 Mg/m³
space group = No. 71
magnetization = 0.00 μB per cell

```
11
Lattice="-4.054 0.582 -0.758 0.112 -6.110 -5.290 0.200 -2.180 8.697" Properties=species:S:1:pos:R:3 pbc="T T T"
In -2.563 -5.671 -2.092
In -1.179 -2.037 4.741
La -3.335 -6.570 1.343
Pt -0.765 -5.347 -0.015
La -0.408 -1.138 1.305
La 0.056 -3.055 -2.645
Pt -1.939 -4.538 -4.560
Pt -2.977 -2.361 2.664
In -2.607 -3.283 -0.025
Pt -2.004 -0.990 -1.488
In -1.136 -4.425 2.674
```

---

Material: DyY2Rh4
Method: DFT, PBE
State: relaxed

Properties
calculated total energy = -50.1 eV for the cell shown
DOS(E_F) = 0.737 states/eV/atom
E_form = -0.446 eV per atom
density = 8.519 Mg/m³
space group = No. 123
magnetization = 0.00 μB per cell

```
7
Lattice="-3.317 0.493 -3.264 1.818 -3.590 -2.389 -3.940 -4.235 3.365" Properties=species:S:1:pos:R:3 pbc="T T T"
Rh -2.660 -0.830 -0.777
Dy -0.749 -1.549 -2.827
Rh -2.030 -4.953 1.315
Y 0.000 0.000 0.000
Rh -4.597 -2.912 0.877
Rh -0.093 -2.871 -0.339
Y -2.720 -3.666 -1.144
```